# KTcW2 | the Alexandria database | PBE | relaxed
data_KTcW2
_chemical_formula_sum 'K1 Tc1 W2'
_cell_length_a 2.6808
_cell_length_b 5.1520
_cell_length_c 5.2861
_cell_angle_alpha 90.00
_cell_angle_beta 90.00
_cell_angle_gamma 90.00
_symmetry_space_group_name_H-M 'P m m m'
_symmetry_Int_Tables_number 47
loop_
_symmetry_equiv_pos_as_xyz
'x,y,z'
'-x,-y,-z'
'-x,-y,z'
'x,y,-z'
'x,-y,-z'
'-x,y,z'
'-x,y,-z'
'x,-y,z'
loop_
_atom_site_label
_atom_site_type_symbol
_atom_site_fract_x
_atom_site_fract_y
_atom_site_fract_z
K1 K 0.0000 0.0000 0.0000
Tc1 Tc 0.5000 0.5000 0.0000
W1 W 0.0000 0.5000 0.5000
W2 W 0.5000 0.0000 0.5000
# E_form ... 1.666 eV/atom
# Relative energy among the computed polymorphs ... 0.908 eV/atom
# Size of the total moment ... 0.00 μB/atom
# Total energy ... -7.677 eV/atom
# DOS(E_F) ... 4.17 states/eV/cell

=====

# CaNbCu | the Alexandria database | PBE | relaxed
data_CaNbCu
_chemical_formula_sum 'Ca2 Nb2 Cu2'
_cell_length_a 3.2992
_cell_length_b 4.4548
_cell_length_c 8.6715
_cell_angle_alpha 90.00
_cell_angle_beta 92.49
_cell_angle_gamma 90.00
_symmetry_space_group_name_H-M 'P 1 m 1'
_symmetry_Int_Tables_number 6
loop_
_symmetry_equiv_pos_as_xyz
'x,y,z'
'x,-y,z'
loop_
_atom_site_label
_atom_site_type_symbol
_atom_site_fract_x
_atom_site_fract_y
_atom_site_fract_z
Ca1 Ca 0.0000 0.0000 0.0000
Ca2 Ca 0.4963 0.5000 0.7174
Nb1 Nb 0.4266 0.0000 0.3613
Nb2 Nb 0.5563 0.5000 0.1846
Cu1 Cu 0.9706 0.0000 0.6035
Cu2 Cu 0.9911 0.5000 0.4375
# E_form ... 0.273 eV/atom
# Relative energy among the computed polymorphs ... 0.120 eV/atom
# Size of the total moment ... 0.00 μB/atom
# Total energy ... -5.116 eV/atom
# DOS(E_F) ... 4.16 states/eV/cell

=====

- Look up the E_form of the second one.
  0.273 eV/atom

=====

- Among the records above, which one has the highest DOS(E_F)?
  KTcW2

=====

- Look up the E_form of the first one.
  1.666 eV/atom

=====

- Look up the size of the total moment of the second one.
  0.00 μB/atom